The following is a PBE calculation of crystalline CuMo at its relaxed geometry, from Alexandria.

Cell lengths 3.1986, 3.1986, 5.5720 Å; angles 90.00, 90.00, 90.00 degrees
With the nearest neighbours (Å) after each atom.
Positions (direct):
Mo  0.0000  0.0000  0.5043  4 Mo 2.63, 6 Cu 2.69-2.88
Mo  0.5000  0.5000  0.7457  4 Mo 2.63, 6 Cu 2.69-2.88
Cu  0.0000  0.0000  0.0212  4 Cu 2.54, 5 Mo 2.69-2.73
Cu  0.5000  0.5000  0.2288  4 Cu 2.54, 5 Mo 2.69-2.73

Calculated values
Space group: P4/nmm, No. 129
Energy relative to the elements in kcal/mol of atoms: 5.32
Energy in eV/atom: -7.233


The following is a PBE calculation of crystalline CuMo2 at its relaxed geometry, from Alexandria.

Cell lengths 4.3665, 4.3665, 5.3028 Å; angles 90.00, 90.00, 120.00 degrees
With the nearest neighbours (Å) after each atom.
Positions (direct):
Mo  0.0000  0.0000  0.5000  8 Mo 2.65-2.85, 6 Cu 2.85
Cu  0.3333  0.6667  0.2500  5 Mo 2.52-2.65
Mo  0.6667  0.3333  0.2500  5 Cu 2.52-2.65
Mo  0.0000  0.0000  0.0000  8 Mo 2.65-2.85, 6 Cu 2.85
Mo  0.3333  0.6667  0.7500  5 Cu 2.52-2.65
Cu  0.6667  0.3333  0.7500  5 Mo 2.52-2.65

Calculated values
Space group: P6_3/mmc, No. 194
Energy relative to the lowest polymorph listed for this composition in meV per atom: 61
Energy relative to the elements in kcal/mol of atoms: 6.56
Energy in eV/atom: -8.302


The following is a PBE calculation of crystalline CuMo at its relaxed geometry, from Alexandria.

Cell lengths 4.8529, 4.8529, 4.8529 Å; angles 90.00, 90.00, 90.00 degrees
With the nearest neighbours (Å) after each atom.
Positions (direct):
Mo  0.9041  0.5959  0.4041  7 Cu 2.58-2.61
Cu  0.9022  0.0978  0.5978  7 Mo 2.58-2.61
Cu  0.0978  0.5978  0.9022  7 Mo 2.58-2.61
Mo  0.5959  0.4041  0.9041  7 Cu 2.58-2.61
Mo  0.0959  0.0959  0.0959  7 Cu 2.58-2.61
Mo  0.4041  0.9041  0.5959  7 Cu 2.58-2.61
Cu  0.4022  0.4022  0.4022  7 Mo 2.58-2.61
Cu  0.5978  0.9022  0.0978  7 Mo 2.58-2.61

Calculated values
Space group: P2_13, No. 198
Energy relative to the elements in kcal/mol of atoms: 11.63
Energy in eV/atom: -6.959


The following is a PBE calculation of crystalline CuMo2 at its relaxed geometry, from Alexandria.

Cell lengths 2.6380, 6.6171, 2.6380 Å; angles 78.50, 90.00, 101.50 degrees
With the nearest neighbours (Å) after each atom.
Positions (direct):
Mo  0.6584  0.3168  0.3416  4 Mo 2.64, 4 Cu 2.74
Cu  0.0000  0.0000  0.0000  4 Cu 2.64, 8 Mo 2.74
Mo  0.3416  0.6832  0.6584  4 Mo 2.64, 4 Cu 2.74

Calculated values
Space group: I4/mmm, No. 139
Energy relative to the lowest polymorph listed for this composition in meV per atom: 14
Energy relative to the elements in kcal/mol of atoms: 5.48
Energy in eV/atom: -8.349


| no. | spin magnetization (Bohr magnetons per cell) |
| --- | --- |
| 1 | 0.0 |
| 2 | 0.0 |
| 3 | 0.0 |
| 4 | 0.0 |